[1]
# Tb2MgSi

Crystalline Tb2MgSi at its relaxed geometry (PBE-GGA, Alexandria).

Lattice parameters (Å, degrees): 4.073 4.808 4.808 90.00 90.00 90.00
Element x y z (fractional)
Si 0.500 0.000 0.000
Tb 0.000 0.000 0.500
Tb 0.000 0.500 0.000
Mg 0.500 0.500 0.500

Raw formation energy ... -0.3222 eV/atom
Space group ... P4/mmm

***

[2]
# Tb3MgSi6

Crystalline Tb3MgSi6 at its relaxed geometry (PBE-GGA, Alexandria).

Lattice parameters (Å, degrees): 7.433 7.433 7.433 98.31 98.31 98.31
Element x y z (fractional)
Tb 0.188 0.750 0.312
Tb 0.312 0.188 0.750
Tb 0.250 0.688 0.812
Tb 0.750 0.312 0.188
Tb 0.688 0.812 0.250
Tb 0.812 0.250 0.688
Mg 0.000 0.000 0.000
Mg 0.500 0.500 0.500
Si 0.909 0.618 0.981
Si 0.019 0.091 0.382
Si 0.118 0.409 0.481
Si 0.382 0.019 0.091
Si 0.409 0.481 0.118
Si 0.519 0.882 0.591
Si 0.481 0.118 0.409
Si 0.591 0.519 0.882
Si 0.618 0.981 0.909
Si 0.882 0.591 0.519
Si 0.981 0.909 0.618
Si 0.091 0.382 0.019

Raw formation energy ... -0.5258 eV/atom
Space group ... R-3c

***

[3]
# TbMgZnSi

Crystalline TbMgZnSi at its relaxed geometry (PBE-GGA, Alexandria).

Lattice parameters (Å, degrees): 4.833 4.833 4.833 60.00 60.00 60.00
Element x y z (fractional)
Mg 0.500 0.500 0.500
Zn 0.250 0.250 0.250
Tb 0.000 0.000 0.000
Si 0.750 0.750 0.750

Raw formation energy ... -0.2540 eV/atom
Space group ... F-43m

***

[4]
# MgSiTc4

Crystalline MgSiTc4 at its relaxed geometry (PBE-GGA, Alexandria).

Lattice parameters (Å, degrees): 5.130 5.130 5.130 60.00 60.00 60.00
Element x y z (fractional)
Mg 0.250 0.250 0.250
Si 0.000 0.000 0.000
Tc 0.625 0.625 0.124
Tc 0.625 0.124 0.625
Tc 0.625 0.625 0.625
Tc 0.124 0.625 0.625

Raw formation energy ... 0.3556 eV/atom
Space group ... F-43m